# Ac6CoNi2Br3 PBE relaxed
data_Ac6CoNi2Br3
_chemical_formula_sum 'Ac12 Co2 Ni4 Br6'
_space_group_name_H-M_alt 'C 1 2/m 1'
_space_group_IT_number 12
_space_group_name_Hall '-C 2y'
_cell_length_a 7.4302
_cell_length_b 12.8702
_cell_length_c 8.6081
_cell_angle_alpha 90.00
_cell_angle_beta 106.72
_cell_angle_gamma 90.00
loop_
_atom_site_label
_atom_site_fract_x
_atom_site_fract_y
_atom_site_fract_z
Ac1 0.2272 0.1633 0.1915
Ac2 0.2373 0.5000 0.1916
Co1 0.0000 0.0000 0.0000
Ni1 0.0000 0.3333 0.0000
Br1 0.0000 0.1659 0.5000
Br2 0.0000 0.5000 0.5000
# Total energy in eV per formula unit: -58.2
# Formation energy from raw total energies in kJ/mol of formula units: -955